LiLa2Ag PBE-GGA optimized geometry; energy above the most stable polymorph in this dataset = 0.1180 eV/atom; formation energy = 0.039 eV per atom; total moment = 0.000 μB/atom
1.0
5.720 0.026 -0.018
4.598 3.402 -0.018
1.165 0.387 5.920
Li La Ag
1 2 1
Direct
0.250 0.250 0.250
0.490 0.490 0.520
0.010 0.010 0.980
0.750 0.750 0.750